# 1
{
  "formula": "P2Cl3",
  "functional": "PBEsol",
  "state": "optimized geometry",
  "sg": "P-3m1 (164)",
  "lattice": [[4.664, 0.000, 0.000], [-2.332, 4.039, 0.000], [0.000, 0.000, 6.906]],
  "species": ["Cl", "Cl", "Cl", "P", "P"],
  "fractional_positions": [[0.667, 0.333, 0.690], [0.333, 0.667, 0.310], [0.000, 0.000, 0.000], [0.667, 0.333, 0.985], [0.333, 0.667, 0.015]]
}

=====

# 2
{
  "formula": "PCl3",
  "functional": "PBEsol",
  "state": "optimized geometry",
  "sg": "Cmmm (65)",
  "lattice": [[3.440, 0.000, 0.000], [0.000, 4.739, -0.048], [0.000, -2.305, 6.273]],
  "species": ["Cl", "Cl", "Cl", "P"],
  "fractional_positions": [[0.500, 0.500, 0.500], [0.000, 0.867, 0.234], [0.000, 0.133, 0.766], [0.500, 0.000, 0.500]]
}

=====

# 3
{
  "formula": "PPbCl",
  "functional": "PBEsol",
  "state": "optimized geometry",
  "sg": "P3m1 (156)",
  "lattice": [[-2.667, 2.456, 1.869], [0.358, -3.890, 1.172], [3.729, 1.394, 3.489]],
  "species": ["P", "Pb", "Cl"],
  "fractional_positions": [[0.333, 0.667, 0.599], [0.667, 0.333, 0.385], [0.000, 0.000, 0.016]]
}

=====

# 4
{
  "formula": "P2RuPbCl",
  "functional": "PBEsol",
  "state": "optimized geometry",
  "sg": "P4/mmm (123)",
  "lattice": [[-1.204, 3.381, 2.706], [-4.278, -0.493, -1.288], [-0.767, -3.334, 3.824]],
  "species": ["P", "P", "Cl", "Ru", "Pb"],
  "fractional_positions": [[0.000, 0.500, 0.000], [0.500, 0.000, 0.000], [0.000, 0.000, 0.500], [0.000, 0.000, 0.000], [0.500, 0.500, 0.500]]
}

=====

# 5
{
  "formula": "PRuPbCl2",
  "functional": "PBEsol",
  "state": "optimized geometry",
  "sg": "P4/mmm (123)",
  "lattice": [[-2.125, 3.870, 0.896], [-4.078, -2.440, 0.868], [1.231, -0.402, 4.654]],
  "species": ["Pb", "Cl", "Cl", "Ru", "P"],
  "fractional_positions": [[0.500, 0.500, 0.500], [0.000, 0.500, 0.000], [0.000, 0.000, 0.500], [0.000, 0.000, 0.000], [0.500, 0.000, 0.000]]
}

=====

# 6
{
  "formula": "P2PbSeCl",
  "functional": "PBEsol",
  "state": "optimized geometry",
  "sg": "P4/mmm (123)",
  "lattice": [[5.030, 0.000, 0.000], [0.000, 5.203, 0.000], [0.000, 0.000, 5.203]],
  "species": ["Se", "P", "P", "Pb", "Cl"],
  "fractional_positions": [[0.500, 0.500, 0.500], [0.000, 0.000, 0.500], [0.000, 0.500, 0.000], [0.000, 0.000, 0.000], [0.500, 0.000, 0.000]]
}

=====

# 7
{
  "formula": "P2PbSeCl",
  "functional": "PBEsol",
  "state": "optimized geometry",
  "sg": "P4/mmm (123)",
  "lattice": [[-1.825, 2.040, -3.942], [-2.048, -4.169, -1.209], [-4.054, 1.259, 2.528]],
  "species": ["P", "P", "Cl", "Pb", "Se"],
  "fractional_positions": [[0.000, 0.500, 0.000], [0.500, 0.000, 0.000], [0.000, 0.000, 0.500], [0.500, 0.500, 0.500], [0.000, 0.000, 0.000]]
}

=====

# 8
{
  "formula": "PPbSe2Cl",
  "functional": "PBEsol",
  "state": "optimized geometry",
  "sg": "P4/mmm (123)",
  "lattice": [[-4.404, 1.520, -2.522], [-0.870, -5.085, -1.546], [-2.864, -0.871, 4.477]],
  "species": ["Se", "Se", "Pb", "P", "Cl"],
  "fractional_positions": [[0.000, 0.500, 0.000], [0.000, 0.000, 0.500], [0.000, 0.000, 0.000], [0.500, 0.000, 0.000], [0.500, 0.500, 0.500]]
}

=====

no.,E_tot (eV/atom)
1,-3.69
2,-3.37
3,-3.89
4,-5.39
5,-4.82
6,-3.23
7,-3.81
8,-2.90